{
  "formula": "La2Sm6Tm3In",
  "functional": "GGA-PBE",
  "state": "optimized geometry",
  "sg": "No. 12",
  "e_form_ev_per_fu": -0.7,
  "magmom_total_mub_per_atom": 0.000,
  "dos_ef_per_ev_cell": 14.6,
  "dft_energy_ev_per_atom": -4.5864,
  "cell": [[-1.884, -5.873, -0.185], [2.279, 2.674, -5.073], [10.601, -2.469, 4.714]],
  "species": ["La", "La", "Sm", "Sm", "Sm", "Sm", "Sm", "Sm", "Tm", "Tm", "Tm", "In"],
  "frac_coords": [[0.334, 0.666, 0.000], [0.666, 0.334, 0.000], [0.084, 0.409, 0.254], [0.916, 0.591, 0.746], [0.241, 0.241, 0.746], [0.409, 0.084, 0.254], [0.591, 0.916, 0.746], [0.759, 0.759, 0.254], [0.500, 0.500, 0.500], [0.833, 0.167, 0.500], [0.167, 0.833, 0.500], [0.000, 0.000, 0.000]]
}

{
  "formula": "LaTm2Au4",
  "functional": "GGA-PBE",
  "state": "optimized geometry",
  "sg": "No. 123",
  "e_form_ev_per_fu": -4.2,
  "magmom_total_mub_per_atom": 0.000,
  "dos_ef_per_ev_cell": 4.7,
  "dft_energy_ev_per_atom": -4.4594,
  "cell": [[5.063, 0.000, 0.000], [0.000, 5.063, 0.000], [0.000, 0.000, 6.921]],
  "species": ["Tm", "Tm", "Au", "Au", "Au", "Au", "La"],
  "frac_coords": [[0.500, 0.500, 0.500], [0.000, 0.000, 0.000], [0.500, 0.000, 0.264], [0.000, 0.500, 0.264], [0.000, 0.500, 0.736], [0.500, 0.000, 0.736], [0.500, 0.500, 0.000]]
}

{
  "formula": "CdAg2Br",
  "functional": "GGA-PBE",
  "state": "optimized geometry",
  "sg": "No. 65",
  "formation_energy_uncorrected_ev_per_atom": 0.074,
  "magmom_total_mub_per_atom": 0.000,
  "dos_ef_per_ev_cell": 0.7,
  "relative_energy_ev_per_atom": 0.141,
  "dft_energy_ev_per_atom": -1.9986,
  "cell": [[5.246, 0.032, 0.000], [-1.706, 4.961, 0.000], [0.000, 0.000, 3.300]],
  "species": ["Br", "Ag", "Ag", "Cd"],
  "frac_coords": [[0.500, 0.000, 0.500], [0.000, 0.000, 0.000], [0.500, 0.500, 0.000], [0.000, 0.500, 0.500]]
}